This record from Alexandria via LeMat-Bulk describes an optimized crystal structure of Ca3Cr3CoO8. The functional is GGA+U.

Output
- DFT total energy (eV/atom) = -6.98
- ρ (kg/m3) = 4266

Cell and atoms, written as CIF:
```
data_Ca3Cr3CoO8
_chemical_formula_sum 'Ca6 Cr6 Co2 O16'
_cell_length_a 11.1387
_cell_length_b 6.1780
_cell_length_c 6.3471
_cell_angle_alpha 90.00
_cell_angle_beta 124.35
_cell_angle_gamma 90.00
_symmetry_space_group_name_H-M 'C 1 2/m 1'
_symmetry_Int_Tables_number 12
loop_
_symmetry_equiv_pos_as_xyz
'x,y,z'
'-x,-y,-z'
'-x,y,-z'
'x,-y,z'
'x+1/2,y+1/2,z'
'-x+1/2,-y+1/2,-z'
'-x+1/2,y+1/2,-z'
'x+1/2,-y+1/2,z'
loop_
_atom_site_label
_atom_site_type_symbol
_atom_site_fract_x
_atom_site_fract_y
_atom_site_fract_z
_atom_site_occupancy
Ca1 Ca 0.0000 0.0000 0.0000 1
Ca2 Ca 0.2500 0.2500 0.0000 1
Cr1 Cr 0.0000 0.5000 0.5000 1
Cr2 Cr 0.2500 0.2500 0.5000 1
Co1 Co 0.0000 0.0000 0.5000 1
O1 O 0.0213 0.2465 0.2990 1
O2 O 0.2433 0.0000 0.2713 1
O3 O 0.2445 0.0000 0.7144 1
```